Entry 1:
Material: TlI2BrCl
Method: DFT, PBE-GGA
State: optimized geometry

Computed properties:
Crystal system ... tetragonal
Formation energy (no corrections) ... 0.105 eV/atom
Space-group type ... No. 123

abc: 6.0734 5.5248 6.0734
angles: 90.00 90.00 90.00
Site moments in Bohr magnetons follow the coordinates.
Positions (direct):
1 Br 0.0000 0.5000 0.0000  0.02
2 Tl 0.0000 0.0000 0.0000  0.00
3 I 0.0000 0.0000 0.5000  0.20
4 Cl 0.5000 0.5000 0.5000  0.52
5 I 0.5000 0.0000 0.0000  0.20

---

Entry 2:
Material: K2Tl2Te3
Method: DFT, PBE-GGA
State: optimized geometry

Computed properties:
Crystal system ... monoclinic
Formation energy (no corrections) ... -0.583 eV/atom
Space-group type ... No. 12

abc: 4.8785 9.4892 8.9271
angles: 53.36 74.14 75.10
Positions (direct):
1 Tl 0.8280 0.3032 0.0409
2 K 0.3928 0.8610 0.3535
3 Tl 0.1720 0.6968 0.9591
4 K 0.6072 0.1390 0.6465
5 Te 0.7885 0.7001 0.7229
6 Te 0.0000 0.0000 0.0000
7 Te 0.2115 0.2999 0.2771

---

Entry 3:
Material: NaTe2AuN
Method: DFT, PBE-GGA
State: optimized geometry

Computed properties:
Crystal system ... tetragonal
Formation energy (no corrections) ... 0.543 eV/atom
Space-group type ... No. 123

abc: 6.0060 6.0060 3.7272
angles: 90.00 90.00 90.00
Positions (direct):
1 Te 0.0000 0.5000 0.0000
2 Na 0.5000 0.5000 0.5000
3 Te 0.5000 0.0000 0.0000
4 Au 0.0000 0.0000 0.0000
5 N 0.0000 0.0000 0.5000

---

Entry 4:
Material: Tb2PuCu
Method: DFT, PBE-GGA
State: optimized geometry

Computed properties:
Crystal system ... tetragonal
Energy of formation from the pure elements ... -0.006 eV/atom
Space-group type ... No. 123

abc: 3.4657 3.4657 8.4956
angles: 90.00 90.00 90.00
Site moments in Bohr magnetons follow the coordinates.
Positions (direct):
1 Cu 0.5000 0.5000 0.0000  0.01
2 Tb 0.0000 0.0000 0.7956  0.18
3 Tb 0.0000 0.0000 0.2044  0.18
4 Pu 0.5000 0.5000 0.5000  5.57